(1)
# AcTeF PBE optimized geometry
data_AcTeF
_cell_length_a 7.337
_cell_length_b 7.337
_cell_length_c 7.337
_cell_angle_alpha 90.00
_cell_angle_beta 90.00
_cell_angle_gamma 90.00
_symmetry_space_group_name_H-M 'P 1'
_symmetry_Int_Tables_number 1
loop_
_symmetry_equiv_pos_as_xyz
'x,y,z'
loop_
_atom_site_label
_atom_site_fract_x
_atom_site_fract_y
_atom_site_fract_z
Ac1 0.000 0.000 0.000
Ac2 0.000 0.500 0.500
Ac3 0.500 0.000 0.500
Ac4 0.500 0.500 0.000
Te1 0.250 0.250 0.750
Te2 0.250 0.750 0.250
Te3 0.750 0.250 0.250
Te4 0.750 0.750 0.750
F1 0.250 0.250 0.250
F2 0.250 0.750 0.750
F3 0.750 0.250 0.750
F4 0.750 0.750 0.250
# Symmetry: F-43m, No. 216
# Formation energy without anion corrections in meV per atom: -2314
# Crystal system: cubic

***

(2)
# Pr3Hf PBE optimized geometry
data_Pr3Hf
_cell_length_a 5.020
_cell_length_b 5.020
_cell_length_c 5.020
_cell_angle_alpha 90.00
_cell_angle_beta 90.00
_cell_angle_gamma 90.00
_symmetry_space_group_name_H-M 'P 1'
_symmetry_Int_Tables_number 1
loop_
_symmetry_equiv_pos_as_xyz
'x,y,z'
loop_
_atom_site_label
_atom_site_fract_x
_atom_site_fract_y
_atom_site_fract_z
Pr1 0.000 0.000 0.500
Pr2 0.000 0.500 0.000
Pr3 0.500 0.000 0.000
Hf1 0.500 0.500 0.500
# Symmetry: Pm-3m, No. 221
# Crystal system: cubic

***

The records above yield uncorrected energy values of -64.25, -23.48 eV/cell, respectively.
The records above yield excess energy over the best structure of this formula in the dataset values of 490, 0 meV per atom, respectively.